1.
Density functional theory data (GGA-PBE) for a relaxed structure of TiCuAg2.

## Properties
Energy above the lowest structure with this stoichiometry   30 meV per atom
ΔE_f   0.1385 eV/atom
SG   No. 225
Total magnetization   0.00 μB per atom
Total DFT energy (no corrections)   -4.285 eV per atom

Cell and atoms, written as extended XYZ:
```
4
Lattice="0.000 3.181 3.181 3.181 0.000 3.181 3.181 3.181 0.000" Properties=species:S:1:pos:R:3 pbc="T T T"
Ti 0.000 0.000 0.000
Cu 3.181 3.181 3.181
Ag 1.590 1.590 1.590
Ag 4.771 4.771 4.771
```

---

2.
Density functional theory data (GGA-PBE) for a relaxed structure of TiCu2Ag.

## Properties
Energy above the lowest structure with this stoichiometry   99 meV per atom
ΔE_f   0.1214 eV/atom
SG   No. 123
Total magnetization   0.00 μB per atom
Total DFT energy (no corrections)   -4.613 eV per atom

Cell and atoms, written as extended XYZ:
```
4
Lattice="4.584 0.000 0.000 0.000 4.584 0.000 0.000 0.000 2.820" Properties=species:S:1:pos:R:3 pbc="T T T"
Ti 0.000 0.000 0.000
Cu 0.000 2.292 1.410
Cu 2.292 0.000 1.410
Ag 2.292 2.292 0.000
```

---

3.
Density functional theory data (GGA-PBE) for a relaxed structure of Ti2CuAg2.

## Properties
ΔE_f   0.3356 eV/atom
SG   No. 127
Total magnetization   0.00 μB per atom
Total DFT energy (no corrections)   -4.782 eV per atom

Cell and atoms, written as extended XYZ:
```
10
Lattice="7.064 0.000 0.000 0.000 7.064 0.000 0.000 0.000 3.489" Properties=species:S:1:pos:R:3 pbc="T T T"
Ti 1.178 2.354 0.000
Ti 2.354 5.886 0.000
Ti 4.710 1.178 0.000
Ti 5.886 4.710 0.000
Cu 0.000 0.000 1.745
Cu 3.532 3.532 1.745
Ag 0.964 4.496 1.745
Ag 2.568 0.964 1.745
Ag 4.496 6.100 1.745
Ag 6.100 2.568 1.745
```

---

4.
Density functional theory data (GGA-PBE) for a relaxed structure of TiCuAg2.

## Properties
Energy above the lowest structure with this stoichiometry   365 meV per atom
ΔE_f   0.4737 eV/atom
SG   No. 122
Total magnetization   0.37 μB per atom
Total DFT energy (no corrections)   -3.950 eV per atom

Cell and atoms, written as extended XYZ:
```
8
Lattice="-3.657 3.657 2.695 3.657 -3.657 2.695 3.657 3.657 -2.695" Properties=species:S:1:pos:R:3 pbc="T T T"
Ti 0.000 0.000 0.000
Ti 0.000 3.657 1.348
Cu 3.657 0.000 1.348
Cu 0.000 0.000 2.695
Ag 1.828 -1.653 2.022
Ag 2.004 1.828 0.674
Ag 1.828 5.309 -0.674
Ag 1.653 1.828 3.369
```

---

5.
Density functional theory data (GGA-PBE) for a relaxed structure of YTi2CuAg.

## Properties
ΔE_f   0.5405 eV/atom
SG   No. 123
Total magnetization   0.48 μB per atom
Total DFT energy (no corrections)   -5.300 eV per atom

Cell and atoms, written as extended XYZ:
```
5
Lattice="4.656 0.000 0.000 0.000 4.656 0.000 0.000 0.000 5.316" Properties=species:S:1:pos:R:3 pbc="T T T"
Y 0.000 0.000 0.000
Ti 0.000 2.328 2.658
Ti 2.328 0.000 2.658
Cu 0.000 0.000 2.658
Ag 2.328 2.328 0.000
```

---

6.
Density functional theory data (GGA-PBE) for a relaxed structure of TlCuAg2.

## Properties
ΔE_f   0.2128 eV/atom
SG   No. 123
Total magnetization   0.00 μB per atom
Total DFT energy (no corrections)   -2.828 eV per atom

Cell and atoms, written as extended XYZ:
```
4
Lattice="4.158 0.000 0.000 0.000 4.158 0.000 0.000 0.000 4.271" Properties=species:S:1:pos:R:3 pbc="T T T"
Tl 0.000 0.000 0.000
Cu 2.079 2.079 0.000
Ag 0.000 2.079 2.136
Ag 2.079 0.000 2.136
```

---

7.
Density functional theory data (GGA-PBE) for a relaxed structure of Tl3CuAg.

## Properties
Energy above the lowest structure with this stoichiometry   0 meV per atom
ΔE_f   0.3233 eV/atom
SG   No. 221
Total magnetization   0.00 μB per atom
Total DFT energy (no corrections)   -2.486 eV per atom

Cell and atoms, written as extended XYZ:
```
5
Lattice="5.238 0.000 0.000 0.000 5.238 0.000 0.000 0.000 5.238" Properties=species:S:1:pos:R:3 pbc="T T T"
Tl 0.000 0.000 2.619
Tl 0.000 2.619 0.000
Tl 2.619 0.000 0.000
Cu 0.000 0.000 0.000
Ag 2.619 2.619 2.619
```

---

8.
Density functional theory data (GGA-PBE) for a relaxed structure of TlCu2Ag2.

## Properties
Energy above the lowest structure with this stoichiometry   32 meV per atom
ΔE_f   0.2190 eV/atom
SG   No. 127
Total magnetization   0.00 μB per atom
Total DFT energy (no corrections)   -3.033 eV per atom

Cell and atoms, written as extended XYZ:
```
10
Lattice="7.717 0.000 0.000 0.000 7.717 0.000 0.000 0.000 2.987" Properties=species:S:1:pos:R:3 pbc="T T T"
Tl 0.000 0.000 0.000
Tl 3.859 3.859 0.000
Cu 1.266 2.592 1.494
Cu 2.592 6.451 1.494
Cu 5.125 1.266 1.494
Cu 6.451 5.125 1.494
Ag 1.011 4.869 0.000
Ag 2.848 1.011 0.000
Ag 4.869 6.707 0.000
Ag 6.707 2.848 0.000
```

---

- Which formula does entry 1 have?
  TiCuAg2

---

- Look up the total magnetization of the sixth one.
  0.00 μB per atom

---

- Look up the ΔE_f of the sixth one.
  0.2128 eV/atom

---

- Look up the total magnetization of the second one.
  0.00 μB per atom